Density functional theory data (PBE) for Y2Be3CuSi4 after structural relaxation.

Computed properties:
* energy: -5.4039 eV/atom
* formation energy (no corrections): -40 kJ/mol of atoms

Unit cell a=3.921 b=3.921 c=9.647 alpha=90.00 beta=90.00 gamma=90.00
Space group P-4m2 (No. 115)
Symmetry-distinct sites (fractional):
1 Y 0.000 0.500 0.247 [2 per cell]
2 Be 0.000 0.500 0.870 [2 per cell]
3 Be 0.500 0.500 0.500 [1 per cell]
4 Cu 0.000 0.000 0.500 [1 per cell]
5 Si 0.000 0.000 0.000 [1 per cell]
6 Si 0.000 0.500 0.638 [2 per cell]
7 Si 0.500 0.500 0.000 [1 per cell]